(1)
The following is a DFT calculation (PBE) of a geometry-optimized SmYCrN4 structure.

- symmetry = No. 11
- DFT total energy (eV/cell) = -123.6

Lattice parameters (Å, degrees): 5.5607 5.4892 6.7524 90.00 108.16 90.00
Closest atoms and distances in Å follow each position.
Element x y z (fractional)
Sm1 0.7260 0.7500 0.9351  6 N 2.45-2.63
Sm2 0.2740 0.2500 0.0649  6 N 2.45-2.63
Y1 0.7971 0.7500 0.4623  6 N 2.35-2.60
Y2 0.2029 0.2500 0.5377  6 N 2.35-2.60
Cr1 0.2433 0.7500 0.3053  4 N 1.71-1.75
Cr2 0.7567 0.2500 0.6947  4 N 1.71-1.75
N1 0.9680 0.4950 0.7517  1 Cr 1.75
N2 0.0320 0.9950 0.2483  1 Cr 1.75
N3 0.0320 0.5050 0.2483  1 Cr 1.75
N4 0.9680 0.0050 0.7517  1 Cr 1.75
N5 0.4445 0.7500 0.1517  1 Cr 1.75
N6 0.5555 0.2500 0.8483  1 Cr 1.75
N7 0.4161 0.7500 0.5640  1 Cr 1.71
N8 0.5839 0.2500 0.4360  1 Cr 1.71

(2)
The following is a DFT calculation (PBE) of a geometry-optimized CrSn3N structure.

- symmetry = No. 221
- distance to the lowest polymorph of the same formula (meV per atom) = 51.4

Lattice parameters (Å, degrees): 5.0131 5.0131 5.0131 90.00 90.00 90.00
Closest atoms and distances in Å follow each position.
Element x y z (fractional)
Cr1 0.0000 0.0000 0.0000  6 Sn 2.51
Sn1 0.0000 0.5000 0.0000  2 Cr 2.51
Sn2 0.0000 0.0000 0.5000  2 Cr 2.51
Sn3 0.5000 0.0000 0.0000  2 Cr 2.51
N1 0.5000 0.5000 0.5000  12 Sn 3.54

(3)
The following is a DFT calculation (PBE) of a geometry-optimized CrSnN structure.

- symmetry = No. 166
- DFT total energy (eV/cell) = -44.8

Lattice parameters (Å, degrees): 3.2457 3.2457 10.5155 81.12 81.12 60.00
Closest atoms and distances in Å follow each position.
Element x y z (fractional)
Sn1 0.3802 0.3802 0.8593  3 N 3.24, 9 Sn 3.25-3.46, 3 Cr 3.39
Sn2 0.6198 0.6198 0.1407  3 N 3.24, 9 Sn 3.25-3.46, 3 Cr 3.39
N1 0.2015 0.2015 0.3955  4 Cr 1.88-1.97
N2 0.7985 0.7985 0.6045  4 Cr 1.88-1.97
Cr1 0.1380 0.1380 0.5859  4 N 1.88-1.97
Cr2 0.8620 0.8620 0.4141  4 N 1.88-1.97

(4)
The following is a DFT calculation (PBE) of a geometry-optimized Cr3SnN structure.

- symmetry = No. 221
- DFT total energy (eV/cell) = -30.4

Lattice parameters (Å, degrees): 5.1746 5.1746 5.1746 90.00 90.00 90.00
Closest atoms and distances in Å follow each position.
Element x y z (fractional)
Cr1 0.0000 0.5000 0.0000  2 Sn 2.59
Cr2 0.0000 0.0000 0.5000  2 Sn 2.59
Cr3 0.5000 0.0000 0.0000  2 Sn 2.59
Sn1 0.0000 0.0000 0.0000  6 Cr 2.59
N1 0.5000 0.5000 0.5000  12 Cr 3.66

(5)
The following is a DFT calculation (PBE) of a geometry-optimized Cr2SnN structure.

- symmetry = No. 225
- DFT total energy (eV/cell) = -26.3

Lattice parameters (Å, degrees): 4.2072 4.2072 4.2072 60.00 60.00 60.00
Closest atoms and distances in Å follow each position.
Element x y z (fractional)
Cr1 0.2500 0.2500 0.2500  4 Sn 2.58, 4 N 2.58
Cr2 0.7500 0.7500 0.7500  4 Sn 2.58, 4 N 2.58
Sn1 0.5000 0.5000 0.5000  8 Cr 2.58
N1 0.0000 0.0000 0.0000  8 Cr 2.58

(6)
The following is a DFT calculation (PBE) of a geometry-optimized CrSn2N2 structure.

- symmetry = No. 139
- distance to the lowest polymorph of the same formula (meV per atom) = 0.0

Lattice parameters (Å, degrees): 3.9678 3.9678 6.1896 71.31 71.31 90.00
Closest atoms and distances in Å follow each position.
Element x y z (fractional)
Cr1 0.0000 0.0000 0.0000  8 Sn 3.33, 8 N 3.40
Sn1 0.3381 0.3381 0.3238  4 N 2.21
Sn2 0.6619 0.6619 0.6762  4 N 2.21
N1 0.7500 0.2500 0.5000  4 Sn 2.21
N2 0.2500 0.7500 0.5000  4 Sn 2.21

(7)
The following is a DFT calculation (PBE) of a geometry-optimized Cr2SnN structure.

- symmetry = No. 166
- DFT total energy (eV/cell) = -32.2

Lattice parameters (Å, degrees): 3.0744 3.0744 6.5312 76.39 76.39 60.00
Closest atoms and distances in Å follow each position.
Element x y z (fractional)
Cr1 0.2860 0.2860 0.1421  3 N 1.99
Cr2 0.7140 0.7140 0.8579  3 N 1.99
Sn1 0.5000 0.5000 0.5000  6 Cr 2.87, 6 Sn 3.07
N1 0.0000 0.0000 0.0000  6 Cr 1.99

(8)
The following is a DFT calculation (PBE) of a geometry-optimized Cr2SnN structure.

- symmetry = No. 122
- DFT total energy (eV/cell) = -62.9

Lattice parameters (Å, degrees): 6.1208 6.1208 5.3266 54.93 54.93 90.00
Closest atoms and distances in Å follow each position.
Element x y z (fractional)
Cr1 0.5013 0.1250 0.2500  2 N 1.88
Cr2 0.2487 0.6250 0.2500  2 N 1.88
Cr3 0.3750 0.4987 0.7500  2 N 1.88
Cr4 0.8750 0.7513 0.7500  2 N 1.88
Sn1 0.0000 0.0000 0.0000  8 Cr 2.86-2.89, 2 N 3.10
Sn2 0.7500 0.2500 0.5000  8 Cr 2.86-2.89, 2 N 3.10
N1 0.5000 0.5000 0.0000  4 Cr 1.88
N2 0.2500 0.7500 0.5000  4 Cr 1.88

(9)
The following is a DFT calculation (PBE) of a geometry-optimized CrSn3N structure.

- symmetry = No. 221
- distance to the lowest polymorph of the same formula (meV per atom) = 0.0

Lattice parameters (Å, degrees): 4.6024 4.6024 4.6024 90.00 90.00 90.00
Closest atoms and distances in Å follow each position.
Element x y z (fractional)
Cr1 0.5000 0.5000 0.5000  12 Sn 3.25
Sn1 0.0000 0.5000 0.0000  2 N 2.30
Sn2 0.0000 0.0000 0.5000  2 N 2.30
Sn3 0.5000 0.0000 0.0000  2 N 2.30
N1 0.0000 0.0000 0.0000  6 Sn 2.30

(10)
The following is a DFT calculation (PBE) of a geometry-optimized CrSn2N2 structure.

- symmetry = No. 127
- distance to the lowest polymorph of the same formula (meV per atom) = 535.6

Lattice parameters (Å, degrees): 6.9877 6.9877 3.2348 90.00 90.00 90.00
Closest atoms and distances in Å follow each position.
Element x y z (fractional)
Cr1 0.0000 0.0000 0.0000  4 Sn 2.69, 8 N 2.97
Cr2 0.5000 0.5000 0.0000  4 Sn 2.69, 8 N 2.97
Sn1 0.3569 0.8569 0.0000  2 N 2.15
Sn2 0.8569 0.6431 0.0000  2 N 2.15
Sn3 0.6431 0.1431 0.0000  2 N 2.15
Sn4 0.1431 0.3569 0.0000  2 N 2.15
N1 0.2141 0.7141 0.5000  2 Sn 2.15
N2 0.7141 0.7859 0.5000  2 Sn 2.15
N3 0.7859 0.2859 0.5000  2 Sn 2.15
N4 0.2859 0.2141 0.5000  2 Sn 2.15

(11)
The following is a DFT calculation (PBE) of a geometry-optimized Cr3SnN structure.

- symmetry = No. 221
- DFT total energy (eV/cell) = -41.8

Lattice parameters (Å, degrees): 3.9344 3.9344 3.9344 90.00 90.00 90.00
Closest atoms and distances in Å follow each position.
Element x y z (fractional)
Cr1 0.0000 0.5000 0.0000  2 N 1.97
Cr2 0.0000 0.0000 0.5000  2 N 1.97
Cr3 0.5000 0.0000 0.0000  2 N 1.97
Sn1 0.5000 0.5000 0.5000  12 Cr 2.78
N1 0.0000 0.0000 0.0000  6 Cr 1.97

(12)
The following is a DFT calculation (PBE) of a geometry-optimized SrCr2SnN structure.

- symmetry = No. 123
- DFT total energy (eV/cell) = -27.3

Lattice parameters (Å, degrees): 5.3390 4.4278 5.3390 90.00 90.00 90.00
Closest atoms and distances in Å follow each position.
Element x y z (fractional)
Sr1 0.5000 0.5000 0.5000  8 Cr 3.47, 4 N 3.78
N1 0.0000 0.5000 0.0000  2 Sn 2.21
Sn1 0.0000 0.0000 0.0000  2 N 2.21
Cr1 0.0000 0.0000 0.5000  2 Sn 2.67
Cr2 0.5000 0.0000 0.0000  2 Sn 2.67

(13)
The following is a DFT calculation (PBE) of a geometry-optimized Sr2CrSnN structure.

- symmetry = No. 123
- DFT total energy (eV/cell) = -27.7

Lattice parameters (Å, degrees): 5.6502 5.6502 3.8230 90.00 90.00 90.00
Closest atoms and distances in Å follow each position.
Element x y z (fractional)
Sr1 0.0000 0.5000 0.0000  2 N 2.83
Sr2 0.5000 0.0000 0.0000  2 N 2.83
N1 0.0000 0.0000 0.0000  2 Cr 1.91
Sn1 0.5000 0.5000 0.5000  8 Sr 3.41
Cr1 0.0000 0.0000 0.5000  2 N 1.91

(14)
The following is a DFT calculation (PBE) of a geometry-optimized CrSnTeN2 structure.

- symmetry = No. 123
- distance to the lowest polymorph of the same formula (meV per atom) = 0.0

Lattice parameters (Å, degrees): 3.9977 3.9977 5.4921 90.00 90.00 90.00
Closest atoms and distances in Å follow each position.
Element x y z (fractional)
Cr1 0.0000 0.0000 0.0000  4 N 2.00
Te1 0.0000 0.0000 0.5000  2 Cr 2.75, 4 Sn 2.83
Sn1 0.5000 0.5000 0.5000  4 Te 2.83
N1 0.0000 0.5000 0.0000  2 Cr 2.00
N2 0.5000 0.0000 0.0000  2 Cr 2.00

(15)
The following is a DFT calculation (PBE) of a geometry-optimized CrSnTeN2 structure.

- symmetry = No. 123
- distance to the lowest polymorph of the same formula (meV per atom) = 639.1

Lattice parameters (Å, degrees): 4.0956 4.0956 6.3867 90.00 90.00 90.00
Closest atoms and distances in Å follow each position.
Element x y z (fractional)
Cr1 0.5000 0.5000 0.5000  4 Te 2.90
Te1 0.0000 0.0000 0.5000  4 Cr 2.90, 2 Sn 3.19
Sn1 0.0000 0.0000 0.0000  4 N 2.05
N1 0.0000 0.5000 0.0000  2 Sn 2.05
N2 0.5000 0.0000 0.0000  2 Sn 2.05

(16)
The following is a DFT calculation (PBE) of a geometry-optimized Cr2SnTeN structure.

- symmetry = No. 123
- DFT total energy (eV/cell) = -23.8

Lattice parameters (Å, degrees): 5.1852 5.6752 5.1852 90.00 90.00 90.00
Closest atoms and distances in Å follow each position.
Element x y z (fractional)
Cr1 0.0000 0.0000 0.5000  2 Sn 2.59
Cr2 0.5000 0.0000 0.0000  2 Sn 2.59
Te1 0.0000 0.5000 0.0000  2 Sn 2.84
Sn1 0.0000 0.0000 0.0000  4 Cr 2.59, 2 Te 2.84
N1 0.5000 0.5000 0.5000  4 Te 3.67, 8 Cr 3.84

(17)
The following is a DFT calculation (PBE) of a geometry-optimized VCr2SnN structure.

- symmetry = No. 123
- DFT total energy (eV/cell) = -42.0

Lattice parameters (Å, degrees): 3.9763 3.9763 3.9763 90.00 90.00 90.00
Closest atoms and distances in Å follow each position.
Element x y z (fractional)
Cr1 0.0000 0.5000 0.0000  2 N 1.99
Cr2 0.5000 0.0000 0.0000  2 N 1.99
N1 0.0000 0.0000 0.0000  4 Cr 1.99, 2 V 1.99
Sn1 0.5000 0.5000 0.5000  4 V 2.81, 8 Cr 2.81
V1 0.0000 0.0000 0.5000  2 N 1.99

(18)
The following is a DFT calculation (PBE) of a geometry-optimized Y2CrSnN structure.

- symmetry = No. 123
- DFT total energy (eV/cell) = -38.6

Lattice parameters (Å, degrees): 4.9725 4.9725 3.8397 90.00 90.00 90.00
Closest atoms and distances in Å follow each position.
Element x y z (fractional)
Y1 0.0000 0.5000 0.0000  2 N 2.49
Y2 0.5000 0.0000 0.0000  2 N 2.49
Cr1 0.0000 0.0000 0.5000  2 N 1.92
Sn1 0.5000 0.5000 0.5000  8 Y 3.14, 4 Cr 3.52
N1 0.0000 0.0000 0.0000  2 Cr 1.92

(19)
The following is a DFT calculation (PBE) of a geometry-optimized YCr2SnN structure.

- symmetry = No. 123
- DFT total energy (eV/cell) = -29.6

Lattice parameters (Å, degrees): 4.9977 5.8611 4.9977 90.00 90.00 90.00
Closest atoms and distances in Å follow each position.
Element x y z (fractional)
Y1 0.0000 0.5000 0.0000  2 Sn 2.93
Cr1 0.0000 0.0000 0.5000  2 Sn 2.50
Cr2 0.5000 0.0000 0.0000  2 Sn 2.50
Sn1 0.0000 0.0000 0.0000  4 Cr 2.50
N1 0.5000 0.5000 0.5000  4 Y 3.53, 8 Cr 3.85

(20)
The following is a DFT calculation (PBE) of a geometry-optimized Zr2CrSnN structure.

- symmetry = No. 123
- distance to the lowest polymorph of the same formula (meV per atom) = 0.0

Lattice parameters (Å, degrees): 4.6236 4.6236 3.8344 90.00 90.00 90.00
Closest atoms and distances in Å follow each position.
Element x y z (fractional)
Cr1 0.0000 0.0000 0.5000  2 N 1.92
Sn1 0.5000 0.5000 0.5000  8 Zr 3.00, 4 Cr 3.27
Zr1 0.0000 0.5000 0.0000  2 N 2.31
Zr2 0.5000 0.0000 0.0000  2 N 2.31
N1 0.0000 0.0000 0.0000  2 Cr 1.92

(21)
The following is a DFT calculation (PBE) of a geometry-optimized Zr2CrSnN structure.

- symmetry = No. 123
- distance to the lowest polymorph of the same formula (meV per atom) = 2667.5

Lattice parameters (Å, degrees): 5.3852 4.8720 5.3852 90.00 90.00 90.00
Closest atoms and distances in Å follow each position.
Element x y z (fractional)
Cr1 0.0000 0.5000 0.0000  2 Sn 2.44
Sn1 0.0000 0.0000 0.0000  2 Cr 2.44, 4 Zr 2.69
Zr1 0.0000 0.0000 0.5000  2 Sn 2.69
Zr2 0.5000 0.0000 0.0000  2 Sn 2.69
N1 0.5000 0.5000 0.5000  8 Zr 3.63, 4 Cr 3.81

(22)
The following is a DFT calculation (PBE) of a geometry-optimized Sr2CrN4 structure.

- symmetry = No. 11
- DFT total energy (eV/cell) = -100.3

Lattice parameters (Å, degrees): 4.5965 6.4560 8.9625 90.28 90.00 90.00
Closest atoms and distances in Å follow each position.
Element x y z (fractional)
Sr1 0.2500 0.2102 0.9033  6 N 2.59-2.76
Sr2 0.7500 0.7898 0.0967  6 N 2.59-2.76
Sr3 0.7500 0.7579 0.5342  7 N 2.56-2.85
Sr4 0.2500 0.2421 0.4658  7 N 2.56-2.85
Cr1 0.2500 0.7460 0.7778  2 N 1.69-1.70
Cr2 0.7500 0.2540 0.2222  2 N 1.69-1.70
N1 0.3944 0.4955 0.6871  1 N 1.33
N2 0.2500 0.7983 0.9625  1 Cr 1.69
N3 0.7500 0.2017 0.0375  1 Cr 1.69
N4 0.1056 0.4955 0.6871  1 N 1.33
N5 0.7500 0.0469 0.3390  1 Cr 1.70
N6 0.8944 0.5045 0.3129  1 N 1.33
N7 0.6056 0.5045 0.3129  1 N 1.33
N8 0.2500 0.9531 0.6610  1 Cr 1.70

(23)
The following is a DFT calculation (PBE) of a geometry-optimized Sr4CrN4 structure.

- symmetry = No. 62
- distance to the lowest polymorph of the same formula (meV per atom) = 0.0

Lattice parameters (Å, degrees): 11.8416 5.2585 11.6635 90.00 90.00 90.00
Closest atoms and distances in Å follow each position.
Element x y z (fractional)
Sr1 0.5541 0.2500 0.8899  5 N 2.60-2.71
Sr2 0.0541 0.2500 0.6101  5 N 2.60-2.71
Sr3 0.4459 0.7500 0.1101  5 N 2.60-2.71
Sr4 0.9459 0.7500 0.3899  5 N 2.60-2.71
Sr5 0.7240 0.2500 0.5248  3 N 2.47-2.68
Sr6 0.2240 0.2500 0.9752  3 N 2.47-2.68
Sr7 0.2760 0.7500 0.4752  3 N 2.47-2.68
Sr8 0.7760 0.7500 0.0248  3 N 2.47-2.68
Sr9 0.8650 0.2500 0.8359  3 N 2.43-2.72
Sr10 0.3650 0.2500 0.6641  3 N 2.43-2.72
Sr11 0.1350 0.7500 0.1641  3 N 2.43-2.72
Sr12 0.6350 0.7500 0.3359  3 N 2.43-2.72
Sr13 0.9097 0.2500 0.1854  4 N 2.60-2.73
Sr14 0.4097 0.2500 0.3146  4 N 2.60-2.73
Sr15 0.0903 0.7500 0.8146  4 N 2.60-2.73
Sr16 0.5903 0.7500 0.6854  4 N 2.60-2.73
Cr1 0.6361 0.2500 0.1475  3 N 1.71-1.76
Cr2 0.1361 0.2500 0.3525  3 N 1.71-1.76
Cr3 0.3639 0.7500 0.8525  3 N 1.71-1.76
Cr4 0.8639 0.7500 0.6475  3 N 1.71-1.76
N1 0.4966 0.2500 0.1098  1 Cr 1.71
N2 0.9966 0.2500 0.3902  1 Cr 1.71
N3 0.5034 0.7500 0.8902  1 Cr 1.71
N4 0.0034 0.7500 0.6098  1 Cr 1.71
N5 0.7337 0.2500 0.0340  1 Cr 1.76
N6 0.2337 0.2500 0.4660  1 Cr 1.76
N7 0.2663 0.7500 0.9660  1 Cr 1.76
N8 0.7663 0.7500 0.5340  1 Cr 1.76
N9 0.6731 0.2500 0.2914  1 Cr 1.74
N10 0.1731 0.2500 0.2086  1 Cr 1.74
N11 0.3269 0.7500 0.7086  1 Cr 1.74
N12 0.8269 0.7500 0.7914  1 Cr 1.74
N13 0.0700 0.2500 0.8322  5 Sr 2.43-2.65
N14 0.5700 0.2500 0.6678  5 Sr 2.43-2.65
N15 0.9300 0.7500 0.1678  5 Sr 2.43-2.65
N16 0.4300 0.7500 0.3322  5 Sr 2.43-2.65

(24)
The following is a DFT calculation (PBE) of a geometry-optimized SrCrN2 structure.

- symmetry = No. 225
- DFT total energy (eV/cell) = -25.8

Lattice parameters (Å, degrees): 4.1592 4.1592 4.1592 60.00 60.00 60.00
Closest atoms and distances in Å follow each position.
Element x y z (fractional)
Sr1 0.5000 0.5000 0.5000  8 N 2.55
N1 0.2500 0.2500 0.2500  4 Sr 2.55, 4 Cr 2.55
N2 0.7500 0.7500 0.7500  4 Cr 2.55, 4 Sr 2.55
Cr1 0.0000 0.0000 0.0000  8 N 2.55

(25)
The following is a DFT calculation (PBE) of a geometry-optimized SrCr2N3 structure.

- symmetry = No. 12
- DFT total energy (eV/cell) = -98.5

Lattice parameters (Å, degrees): 3.3643 5.9899 9.2146 113.48 100.52 90.00
Closest atoms and distances in Å follow each position.
Element x y z (fractional)
Sr1 0.3655 0.1934 0.7309  4 N 2.45-2.71
Sr2 0.6345 0.8066 0.2691  4 N 2.45-2.71
Cr1 0.3002 0.6213 0.6004  4 N 1.85-1.94
Cr2 0.6998 0.3787 0.3996  4 N 1.85-1.94
Cr3 0.9398 0.8138 0.8795  4 N 1.81-1.88
Cr4 0.0602 0.1862 0.1205  4 N 1.81-1.88
N1 0.2293 0.2773 0.4586  3 Cr 1.94
N2 0.0470 0.8708 0.0941  2 Cr 1.81-1.83
N3 0.4074 0.6664 0.8148  3 Cr 1.85-1.88
N4 0.7707 0.7227 0.5414  3 Cr 1.94
N5 0.5926 0.3336 0.1852  3 Cr 1.85-1.88
N6 0.9530 0.1292 0.9059  2 Cr 1.81-1.83

| no. | calculated density (Mg/m³) |
| --- | --- |
| 1 | 5.89 |
| 2 | 5.56 |
| 3 | 6.50 |
| 4 | 3.46 |
| 5 | 7.46 |
| 6 | 6.07 |
| 7 | 7.64 |
| 8 | 6.76 |
| 9 | 7.19 |
| 10 | 6.67 |
| 11 | 7.87 |
| 12 | 4.27 |
| 13 | 4.90 |
| 14 | 6.17 |
| 15 | 5.06 |
| 16 | 3.96 |
| 17 | 7.60 |
| 18 | 6.34 |
| 19 | 3.69 |
| 20 | 7.44 |
| 21 | 4.32 |
| 22 | 3.54 |
| 23 | 4.19 |
| 24 | 5.47 |
| 25 | 4.65 |